First-principles (PBE) data for an optimized crystal structure of Ag6Cl7, as listed in Alexandria.

a = 11.2780 Å, b = 11.2780 Å, c = 11.2780 Å
α = 33.40°, β = 33.40°, γ = 33.40°
Each line ends with the local moment (μB).
Sites, in units of the cell vectors:
Ag (0.6683, 0.6683, 0.6683)  0.02
Ag (0.9366, 0.9366, 0.9366)  0.00
Ag (0.3317, 0.3317, 0.3317)  0.02
Ag (0.0634, 0.0634, 0.0634)  0.00
Ag (0.2173, 0.2173, 0.2173)  0.01
Ag (0.7827, 0.7827, 0.7827)  0.01
Cl (0.5571, 0.0670, 0.5571)  0.02
Cl (0.4429, 0.9330, 0.4429)  0.02
Cl (0.4429, 0.4429, 0.9330)  0.02
Cl (0.5571, 0.5571, 0.0670)  0.02
Cl (0.0670, 0.5571, 0.5571)  0.02
Cl (0.5000, 0.5000, 0.5000)  0.16
Cl (0.9330, 0.4429, 0.4429)  0.02

Summary:
spin magnetization = 0.40 μB/f.u.
symmetry = No. 166

=====

First-principles (PBE) data for an optimized crystal structure of AgCl3, as listed in Alexandria.

a = 4.1727 Å, b = 4.4687 Å, c = 7.0665 Å
α = 90.00°, β = 90.00°, γ = 90.00°
Sites, in units of the cell vectors:
Cl (0.0000, 0.5000, 0.2121)
Cl (0.5000, 0.0000, 0.6313)
Cl (0.5000, 0.5000, 0.7152)
Ag (0.0000, 0.0000, 0.1081)

Summary:
spin magnetization = 0.00 μB/f.u.
symmetry = No. 25

=====

First-principles (PBE) data for an optimized crystal structure of AgCl3, as listed in Alexandria.

a = 9.5059 Å, b = 9.5059 Å, c = 7.1857 Å
α = 48.59°, β = 48.59°, γ = 90.00°
Each line ends with the local moment (μB).
Sites, in units of the cell vectors:
Ag (0.0000, 0.0000, 0.0000)  0.01
Ag (0.7500, 0.2500, 0.5000)  0.01
Cl (0.8045, 0.1250, 0.2500)  0.14
Cl (0.2500, 0.7500, 0.5000)  0.19
Cl (0.3750, 0.1955, 0.7500)  0.10
Cl (0.8750, 0.0545, 0.7500)  0.10
Cl (0.5000, 0.5000, 0.0000)  0.19
Cl (0.9455, 0.6250, 0.2500)  0.14

Summary:
spin magnetization = 0.55 μB/f.u.
symmetry = No. 122

=====

First-principles (PBE) data for an optimized crystal structure of AgCl3, as listed in Alexandria.

a = 12.1982 Å, b = 12.1982 Å, c = 12.1982 Å
α = 14.71°, β = 14.71°, γ = 14.71°
Each line ends with the local moment (μB).
Sites, in units of the cell vectors:
Ag (0.0000, 0.0000, 0.0000)  0.01
Cl (0.0649, 0.0649, 0.0649)  -0.02
Cl (0.5000, 0.5000, 0.5000)  0.65
Cl (0.9351, 0.9351, 0.9351)  -0.02

Summary:
spin magnetization = 0.78 μB/f.u.
symmetry = No. 166

=====

First-principles (PBE) data for an optimized crystal structure of AgCl, as listed in Alexandria.

a = 6.0255 Å, b = 6.0255 Å, c = 3.9242 Å
α = 90.00°, β = 90.00°, γ = 143.46°
Sites, in units of the cell vectors:
Ag (0.8934, 0.1066, 0.7500)
Ag (0.1066, 0.8934, 0.2500)
Cl (0.3664, 0.6336, 0.2500)
Cl (0.6336, 0.3664, 0.7500)

Summary:
spin magnetization = 0.00 μB/f.u.
symmetry = No. 63

=====

First-principles (PBE) data for an optimized crystal structure of AgCl, as listed in Alexandria.

a = 10.2642 Å, b = 10.2642 Å, c = 4.4105 Å
α = 90.00°, β = 90.00°, γ = 120.00°
Sites, in units of the cell vectors:
Cl (0.9173, 0.5942, 0.2500)
Cl (0.5942, 0.6769, 0.7500)
Cl (0.6769, 0.0827, 0.2500)
Cl (0.0827, 0.4058, 0.7500)
Cl (0.3231, 0.9173, 0.7500)
Cl (0.4058, 0.3231, 0.2500)
Ag (0.9258, 0.3273, 0.2500)
Ag (0.0742, 0.6727, 0.7500)
Ag (0.5985, 0.9258, 0.7500)
Ag (0.6727, 0.5985, 0.2500)
Ag (0.3273, 0.4015, 0.7500)
Ag (0.4015, 0.0742, 0.2500)

Summary:
spin magnetization = 0.00 μB/f.u.
symmetry = No. 176

=====

First-principles (PBE) data for an optimized crystal structure of Ag5Cl8, as listed in Alexandria.

a = 8.3369 Å, b = 8.3369 Å, c = 7.3195 Å
α = 99.84°, β = 106.08°, γ = 127.36°
Each line ends with the local moment (μB).
Sites, in units of the cell vectors:
Ag (0.2474, 0.7474, 0.5000)  0.26
Ag (0.7399, 0.7253, 0.4652)  0.02
Ag (0.2601, 0.2747, 0.5348)  0.02
Ag (0.0000, 0.0000, 0.0000)  0.03
Ag (0.7526, 0.2526, 0.5000)  0.26
Cl (0.3196, 0.9670, 0.2866)  0.17
Cl (0.1831, 0.5407, 0.7238)  0.18
Cl (0.6804, 0.0330, 0.7134)  0.17
Cl (0.8169, 0.4593, 0.2762)  0.18
Cl (0.7001, 0.5768, 0.7561)  0.01
Cl (0.8207, 0.9440, 0.2439)  0.01
Cl (0.2999, 0.4232, 0.2439)  0.01
Cl (0.1793, 0.0560, 0.7561)  0.01

Summary:
spin magnetization = 1.53 μB/f.u.
symmetry = No. 12

=====

First-principles (PBE) data for an optimized crystal structure of AgCl3, as listed in Alexandria.

a = 4.9486 Å, b = 4.9486 Å, c = 4.9486 Å
α = 60.00°, β = 60.00°, γ = 60.00°
Each line ends with the local moment (μB).
Sites, in units of the cell vectors:
Cl (0.2500, 0.2500, 0.2500)  0.41
Cl (0.7500, 0.7500, 0.7500)  0.41
Cl (0.0000, 0.0000, 0.0000)  0.71
Ag (0.5000, 0.5000, 0.5000)  0.14

Summary:
spin magnetization = 2.00 μB/f.u.
symmetry = No. 225

=====

| no. | electronic total energy (eV per cell) |
| --- | --- |
| 1 | -29.5 |
| 2 | -8.6 |
| 3 | -16.7 |
| 4 | -7.4 |
| 5 | -10.9 |
| 6 | -33.2 |
| 7 | -33.8 |
| 8 | -7.1 |